Ho2ScAg4 | PBE-GGA | optimized geometry

**Crystal system**: tetragonal
**Fermi-level density of states**: 6.10 states/eV per cell
**Formation energy**: -77 meV/atom

Geometry as POSCAR:
```
Ho2ScAg4
1.0
5.6725 -0.2660 -2.1586
-2.9043 5.0408 -1.7501
-0.1532 0.2660 6.0674
Sc Ag Ho
1 4 2
Cartesian
0.0000 0.0000 0.0000
-0.0766 0.1330 3.0337
-1.4521 2.5204 -0.8751
2.8362 -0.1330 -1.0793
1.3075 2.5204 1.0793
2.7596 0.0000 1.9544
1.3841 2.3874 -1.9544
```